{
  "formula": "ScFeP2",
  "functional": "PBE",
  "state": "optimized geometry",
  "cell": [[-1.810, -0.352, 3.094], [-1.474, -3.168, 0.875], [3.295, -2.553, 3.738]],
  "species": ["Fe", "P", "P", "Sc"],
  "fractional_positions": [[0.250, 0.250, 0.250], [0.980, 0.980, 0.061], [0.520, 0.520, 0.439], [0.750, 0.750, 0.750]],
  "ef_ev_per_atom": -0.78,
  "polymorph_energy_mev_per_atom": 0,
  "spacegroup": "R-3m",
  "energy_ev_per_atom": -7.186
}